No. 1
## Tm3Mg3Ga2Ag (PBE)

Data for crystalline Tm3Mg3Ga2Ag at its relaxed geometry.

```
Tm3Mg3Ga2Ag
1.0
7.293 0.000 0.000
-3.647 6.316 0.000
0.000 0.000 4.322
Ag Ga Mg Tm
1 2 3 3
direct
0.000 0.000 0.000
0.667 0.333 0.500
0.333 0.667 0.500
0.246 0.000 0.500
0.000 0.246 0.500
0.754 0.754 0.500
0.576 0.000 0.000
0.424 0.424 0.000
0.000 0.576 0.000
```

Properties
The value obtained for the magnetic moment is 0.0 μB/cell. The value obtained for the electronic total energy is -30.89 eV per cell.

---

No. 2
## GdPPbO (PBE)

Data for crystalline GdPPbO at its relaxed geometry.

```
GdPPbO
1.0
-2.660 4.459 -1.977
-4.513 -1.396 2.924
1.807 2.936 4.190
Gd O P Pb
2 2 2 2
direct
0.750 0.250 0.500
0.250 0.750 0.500
0.750 0.250 0.000
0.250 0.750 0.000
0.750 0.750 0.492
0.250 0.250 0.508
0.250 0.250 0.007
0.750 0.750 0.993
```

Properties
The value obtained for the magnetic moment is 0.0 μB/cell. The value obtained for the electronic total energy is -46.66 eV per cell.

---

No. 3
## ErBi (PBE)

Data for crystalline ErBi at its relaxed geometry.

```
ErBi
1.0
4.425 0.000 0.000
-2.212 3.832 0.000
0.000 0.000 10.870
Bi Er
3 3
direct
0.000 0.000 0.000
0.333 0.667 0.333
0.667 0.333 0.667
0.667 0.333 0.167
0.000 0.000 0.500
0.333 0.667 0.833
```

Properties
The value obtained for the magnetic moment is 0.0 μB/cell. The value obtained for the electronic total energy is -30.81 eV per cell.

---

No. 4
## Pm2BiTe (PBE)

Data for crystalline Pm2BiTe at its relaxed geometry.

```
Pm2BiTe
1.0
-1.248 0.189 -4.333
1.130 -4.339 -0.515
-5.919 -1.734 1.629
Bi Pm Te
1 2 1
direct
0.000 0.000 0.000
0.500 0.500 0.000
0.000 0.000 0.500
0.500 0.500 0.500
```

Properties
The value obtained for the magnetic moment is 0.0 μB/cell. The value obtained for the electronic total energy is -21.51 eV per cell.